No. 1
DFT (PBE) results for a relaxed CePm5PrNd2 crystal.

Results
Space-group type = P4/mbm (127)
Formation energy from the elements = 274.5 meV/atom

Structure (POSCAR):
```
CePm5PrNd2
1.0
8.246 0.000 0.000
0.000 8.246 0.000
0.000 0.000 9.240
Ce Pm Pr Nd
2 10 2 4
direct
0.000 0.500 0.000
0.500 0.000 0.000
0.000 0.000 0.500
0.201 0.299 0.228
0.201 0.299 0.772
0.299 0.799 0.228
0.299 0.799 0.772
0.500 0.500 0.500
0.701 0.201 0.228
0.701 0.201 0.772
0.799 0.701 0.228
0.799 0.701 0.772
0.000 0.000 0.000
0.500 0.500 0.000
0.128 0.628 0.500
0.372 0.128 0.500
0.628 0.872 0.500
0.872 0.372 0.500
```


No. 2
DFT (PBE) results for a relaxed CePm4Nd3S8 crystal.

Results
Space-group type = R-3m (166)
Calculated total energy = -104.8 eV per cell

Structure (POSCAR):
```
CePm4Nd3S8
1.0
4.045 2.335 6.610
-4.045 2.335 6.610
0.000 -4.670 6.610
Ce Pm Nd S
1 4 3 8
direct
0.000 0.000 0.000
0.000 0.000 0.500
0.000 0.500 0.000
0.500 0.000 0.000
0.500 0.500 0.500
0.000 0.500 0.500
0.500 0.000 0.500
0.500 0.500 0.000
0.247 0.751 0.751
0.249 0.249 0.249
0.249 0.249 0.753
0.249 0.753 0.249
0.751 0.247 0.751
0.751 0.751 0.247
0.751 0.751 0.751
0.753 0.249 0.249
```